Record 1
PrSmB4: optimized geometry, GGA-PBE.

Relative energy among the computed polymorphs: 0.007 eV/atom

abc: 3.3360 5.7800 8.2058
angles: 90.00 90.00 90.00
With the nearest neighbours (Å) after each atom.
Space group Immm (No. 71)
Asymmetric unit:
Pr1 0.0000 0.0000 0.0000 (multiplicity 2)  12 B 2.81-2.82
Sm1 0.0000 0.0000 0.5000 (multiplicity 2)  12 B 2.81-2.82
B1 0.0000 0.3335 0.2488 (multiplicity 8)  3 B 1.92-1.93


Record 2
SrPrB4: optimized geometry, GGA-PBE.

Relative energy among the computed polymorphs: 0.197 eV/atom

abc: 3.3309 3.3309 8.5826
angles: 90.00 90.00 120.00
With the nearest neighbours (Å) after each atom.
Space group P6/mmm (No. 191)
Asymmetric unit:
Sr1 0.0000 0.0000 0.0000 (multiplicity 1)  12 B 2.93
Pr1 0.0000 0.0000 0.5000 (multiplicity 1)  12 B 2.84
B1 0.3333 0.6667 0.2572 (multiplicity 4)  3 B 1.92


Record 3
SrPrB: optimized geometry, GGA-PBE.

Relative energy among the computed polymorphs: 0.000 eV/atom

abc: 6.8346 6.8346 6.8346
angles: 90.00 90.00 90.00
With the nearest neighbours (Å) after each atom.
Space group F-43m (No. 216)
Asymmetric unit:
Sr1 0.0000 0.0000 0.0000 (multiplicity 4)  4 B 2.96
Pr1 0.0000 0.0000 0.5000 (multiplicity 4)  4 B 2.96
B1 0.2500 0.2500 0.7500 (multiplicity 4)  4 Pr 2.96, 4 Sr 2.96


Record 4
SrPrB4: optimized geometry, GGA-PBE.

Relative energy among the computed polymorphs: 0.197 eV/atom

abc: 3.3374 3.3374 8.5614
angles: 90.00 90.00 120.00
With the nearest neighbours (Å) after each atom.
Space group P6/mmm (No. 191)
Asymmetric unit:
Sr1 0.0000 0.0000 0.0000 (multiplicity 1)  12 B 2.92
Pr1 0.0000 0.0000 0.5000 (multiplicity 1)  12 B 2.84
B1 0.3333 0.6667 0.2569 (multiplicity 4)  3 B 1.93


Record 5
SrPrB4: optimized geometry, GGA-PBE.

Relative energy among the computed polymorphs: 0.000 eV/atom

abc: 3.1575 7.6519 7.8423
angles: 90.00 90.00 90.00
With the nearest neighbours (Å) after each atom.
Space group Immm (No. 71)
Asymmetric unit:
Sr1 0.0000 0.0000 0.0000 (multiplicity 2)  12 B 2.83-3.09, 2 Sr 3.16
Pr1 0.0000 0.0000 0.5000 (multiplicity 2)  12 B 2.85-3.07, 2 Pr 3.16
B1 0.0000 0.2684 0.2478 (multiplicity 8)  2 B 1.60


Record 6
PrTaB: optimized geometry, GGA-PBE.

Relative energy among the computed polymorphs: 1.571 eV/atom

abc: 6.5647 6.5647 6.5647
angles: 90.00 90.00 90.00
With the nearest neighbours (Å) after each atom.
Space group F-43m (No. 216)
Asymmetric unit:
Pr1 0.0000 0.0000 0.0000 (multiplicity 4)  4 Ta 2.84, 4 B 2.84
Ta1 0.2500 0.2500 0.2500 (multiplicity 4)  4 Pr 2.84
B1 0.2500 0.2500 0.7500 (multiplicity 4)  4 Pr 2.84


Record 7
PrTaB: optimized geometry, GGA-PBE.

Relative energy among the computed polymorphs: 0.000 eV/atom

abc: 6.1260 6.1260 6.1260
angles: 90.00 90.00 90.00
With the nearest neighbours (Å) after each atom.
Space group F-43m (No. 216)
Asymmetric unit:
Pr1 0.0000 0.0000 0.0000 (multiplicity 4)  4 B 2.65
Ta1 0.0000 0.0000 0.5000 (multiplicity 4)  4 B 2.65
B1 0.2500 0.2500 0.2500 (multiplicity 4)  4 Ta 2.65, 4 Pr 2.65


Record 8
TbPrB4: optimized geometry, GGA-PBE.

Relative energy among the computed polymorphs: 0.000 eV/atom

abc: 3.3196 3.3196 8.0954
angles: 90.00 90.00 120.00
With the nearest neighbours (Å) after each atom.
Space group P6/mmm (No. 191)
Asymmetric unit:
Tb1 0.0000 0.0000 0.0000 (multiplicity 1)  12 B 2.72
Pr1 0.0000 0.0000 0.5000 (multiplicity 1)  12 B 2.86
B1 0.3333 0.6667 0.2376 (multiplicity 4)  3 B 1.92